[1]
CaNdTlZn, optimized geometry, DFT PBE-GGA; DOS(E_F) = 1.9 states/eV per cell; energy of formation from the pure elements = -0.36 eV per atom
1.0
5.373 0.000 0.000
2.687 4.653 0.000
2.687 1.551 4.387
Ca Nd Zn Tl
1 1 1 1
Direct
0.000 0.000 0.000 Ca
0.500 0.500 0.500 Nd
0.250 0.250 0.250 Zn
0.750 0.750 0.750 Tl

***

[2]
CaNd3Tm, optimized geometry, DFT PBE-GGA; DOS(E_F) = 16.9 states/eV per cell; energy of formation from the pure elements = 0.36 eV per atom
1.0
6.223 0.000 0.000
3.112 5.389 0.000
3.112 1.796 11.737
Nd Ca Tm
6 2 2
Direct
0.582 0.250 0.268 Nd
0.099 0.418 0.732 Nd
0.901 0.582 0.268 Nd
0.250 0.901 0.268 Nd
0.750 0.099 0.732 Nd
0.418 0.750 0.732 Nd
0.667 0.667 0.999 Ca
0.333 0.333 0.001 Ca
0.166 0.166 0.501 Tm
0.834 0.834 0.499 Tm

***

[3]
CaNd2Tm3, optimized geometry, DFT PBE-GGA; DOS(E_F) = 17.9 states/eV per cell; energy of formation from the pure elements = 0.22 eV per atom
1.0
6.672 0.000 0.000
-3.336 5.778 0.000
0.000 0.000 10.924
Tm Ca Nd
6 2 4
Direct
0.832 0.664 0.742 Tm
0.664 0.832 0.258 Tm
0.336 0.168 0.742 Tm
0.832 0.168 0.742 Tm
0.168 0.336 0.258 Tm
0.168 0.832 0.258 Tm
0.667 0.333 0.063 Ca
0.333 0.667 0.937 Ca
0.000 0.000 0.000 Nd
0.333 0.667 0.575 Nd
0.000 0.000 0.500 Nd
0.667 0.333 0.425 Nd

***

[4]
CaNd5Tm3, optimized geometry, DFT PBE-GGA; DOS(E_F) = 23.7 states/eV per cell; energy of formation from the pure elements = 0.07 eV per atom
1.0
-5.682 -4.394 6.878
-4.050 -1.416 -11.441
5.734 -3.123 2.741
Nd Ca Tm
10 2 6
Direct
0.700 0.694 0.944 Nd
0.367 0.369 0.619 Nd
0.633 0.631 0.381 Nd
0.994 0.694 0.444 Nd
0.348 0.000 0.750 Nd
0.652 0.000 0.250 Nd
0.300 0.306 0.056 Nd
0.998 0.631 0.881 Nd
0.006 0.306 0.556 Nd
0.002 0.369 0.119 Nd
0.311 0.000 0.250 Ca
0.689 0.000 0.750 Ca
0.000 0.000 0.500 Tm
0.667 0.334 0.334 Tm
0.667 0.334 0.834 Tm
0.333 0.666 0.666 Tm
0.333 0.666 0.166 Tm
0.000 0.000 0.000 Tm

***

[5]
Ca2Nd4Tm, optimized geometry, DFT PBE-GGA; DOS(E_F) = 10.7 states/eV per cell; energy of formation from the pure elements = 0.12 eV per atom
1.0
3.541 0.000 -0.592
-0.252 5.724 -1.504
0.251 0.196 12.384
Ca Nd Tm
2 4 1
Direct
0.721 0.721 0.442 Ca
0.279 0.279 0.558 Ca
0.920 0.420 0.841 Nd
0.080 0.580 0.159 Nd
0.629 0.129 0.258 Nd
0.371 0.871 0.742 Nd
0.000 0.000 0.000 Tm

***

[6]
CaNd2Tm, optimized geometry, DFT PBE-GGA; DOS(E_F) = 5.1 states/eV per cell; energy of formation from the pure elements = 0.04 eV per atom
1.0
3.643 0.000 0.000
1.822 3.155 0.000
1.822 1.052 12.192
Ca Tm Nd
1 1 2
Direct
0.500 0.500 0.500 Ca
0.667 0.667 0.000 Tm
0.078 0.078 0.767 Nd
0.256 0.256 0.233 Nd

***

[7]
CaNd6Tm3, optimized geometry, DFT PBE-GGA; DOS(E_F) = 30.0 states/eV per cell; energy of formation from the pure elements = 0.05 eV per atom
1.0
3.594 0.000 0.000
0.000 11.454 -1.836
0.000 2.725 16.262
Tm Nd Ca
6 12 2
Direct
0.750 0.871 0.351 Tm
0.750 0.877 0.152 Tm
0.750 0.632 0.645 Tm
0.250 0.368 0.355 Tm
0.250 0.129 0.649 Tm
0.250 0.123 0.848 Tm
0.250 0.880 0.962 Nd
0.750 0.359 0.754 Nd
0.250 0.634 0.826 Nd
0.750 0.136 0.458 Nd
0.250 0.864 0.542 Nd
0.250 0.641 0.246 Nd
0.750 0.120 0.038 Nd
0.250 0.396 0.562 Nd
0.750 0.604 0.438 Nd
0.250 0.105 0.251 Nd
0.750 0.366 0.174 Nd
0.750 0.895 0.749 Nd
0.750 0.625 0.041 Ca
0.250 0.375 0.959 Ca

***

[8]
CaNd2Tm, optimized geometry, DFT PBE-GGA; DOS(E_F) = 6.0 states/eV per cell; energy of formation from the pure elements = 0.11 eV per atom
1.0
5.825 0.000 0.000
2.913 5.045 0.000
2.913 1.682 4.756
Tm Nd Ca
1 2 1
Direct
0.000 0.000 0.000 Tm
0.750 0.750 0.750 Nd
0.250 0.250 0.250 Nd
0.500 0.500 0.500 Ca

***

[9]
CaNd2Tm, optimized geometry, DFT PBE-GGA; DOS(E_F) = 5.6 states/eV per cell; energy of formation from the pure elements = 0.10 eV per atom
1.0
5.018 0.000 0.000
0.000 5.255 0.000
0.000 0.000 5.255
Nd Ca Tm
2 1 1
Direct
0.000 0.500 0.000 Nd
0.000 0.000 0.500 Nd
0.500 0.000 0.000 Ca
0.500 0.500 0.500 Tm

***

[10]
CaNd3Tm, optimized geometry, DFT PBE-GGA; DOS(E_F) = 16.3 states/eV per cell; energy of formation from the pure elements = 0.16 eV per atom
1.0
6.284 -0.459 -0.501
-3.574 5.189 -0.501
1.026 1.791 11.227
Nd Ca Tm
6 2 2
Direct
0.653 0.348 0.809 Nd
0.652 0.347 0.191 Nd
0.000 0.000 0.693 Nd
0.347 0.652 0.191 Nd
0.000 0.000 0.307 Nd
0.348 0.653 0.809 Nd
0.656 0.344 0.500 Ca
0.344 0.656 0.500 Ca
0.861 0.139 0.000 Tm
0.139 0.861 0.000 Tm

***

[11]
Ca2Nd12Tm5, optimized geometry, DFT PBE-GGA; DOS(E_F) = 26.2 states/eV per cell; energy of formation from the pure elements = 0.14 eV per atom
1.0
11.787 0.000 0.000
-5.894 6.593 0.631
0.000 3.761 8.812
Nd Ca Tm
12 2 5
Direct
0.149 0.798 0.412 Nd
0.944 0.420 0.188 Nd
0.555 0.110 0.225 Nd
0.895 0.790 0.926 Nd
0.649 0.798 0.412 Nd
0.105 0.210 0.074 Nd
0.851 0.202 0.588 Nd
0.445 0.890 0.775 Nd
0.524 0.580 0.812 Nd
0.476 0.420 0.188 Nd
0.351 0.202 0.588 Nd
0.056 0.580 0.812 Nd
0.281 0.000 0.000 Ca
0.719 0.000 0.000 Ca
0.000 0.000 0.500 Tm
0.770 0.540 0.368 Tm
0.709 0.418 0.755 Tm
0.230 0.460 0.632 Tm
0.291 0.582 0.245 Tm

***

[12]
CaNd2Tm, optimized geometry, DFT PBE-GGA; DOS(E_F) = 5.9 states/eV per cell; energy of formation from the pure elements = 0.05 eV per atom
1.0
3.663 0.000 0.000
0.000 3.663 0.000
0.000 0.000 10.458
Ca Tm Nd
1 1 2
Direct
0.500 0.500 0.500 Ca
0.500 0.500 0.000 Tm
0.000 0.000 0.233 Nd
0.000 0.000 0.767 Nd

***

Look up the energy of formation from the pure elements of the second one. 0.36 eV per atom